24
Lattice="13.854 0.000 0.000 0.000 4.163 0.000 0.000 0.000 10.890" Properties=species:S:1:pos:R:3 comment="SrLiTbSe3 | OQMD | PBE | relaxed" sg="Pnma (62)" total_energy_ev_per_atom=-4.89 pbc="T T T"
Tb 0.222 1.041 3.618
Tb 13.631 3.122 7.272
Tb 6.704 3.122 9.063
Tb 7.149 1.041 1.827
Sr 10.724 3.122 10.519
Sr 10.057 1.041 5.074
Sr 3.130 1.041 0.371
Sr 3.797 3.122 5.816
Li 6.849 1.041 6.417
Li 0.077 3.122 0.972
Li 13.776 1.041 9.918
Li 7.004 3.122 4.473
Se 8.427 1.041 10.141
Se 11.895 1.041 8.209
Se 12.354 3.122 4.696
Se 12.489 1.041 1.221
Se 4.969 1.041 8.126
Se 1.365 3.122 9.669
Se 1.958 3.122 2.681
Se 5.427 3.122 0.749
Se 8.292 3.122 6.666
Se 5.562 1.041 4.224
Se 8.885 3.122 2.764
Se 1.500 1.041 6.194

12
Lattice="-7.181 -2.259 5.165 -6.237 -5.816 3.259 6.789 -1.039 5.302" Properties=species:S:1:pos:R:3 comment="SrLiTbSe3 | OQMD | PBE | relaxed" sg="C2/m (12)" total_energy_ev_per_atom=-4.92 pbc="T T T"
Se -3.487 -2.840 3.574
Se -6.907 -5.783 7.373
Se -3.314 -4.557 6.863
Se 0.279 -3.330 6.353
Se 0.000 0.000 0.000
Se -3.141 -6.273 10.152
Sr 2.046 -1.663 4.117
Sr -8.674 -7.451 9.610
Tb -4.992 -7.683 11.867
Tb -1.636 -1.430 1.859
Li -1.203 -4.819 8.399
Li -5.425 -4.294 5.328

12
Lattice="2.086 -6.806 0.000 2.086 6.806 0.000 0.000 0.000 10.756" Properties=species:S:1:pos:R:3 comment="SrLiTbSe3 | OQMD | PBE | relaxed" sg="Cmcm (63)" total_energy_ev_per_atom=-4.91 pbc="T T T"
Tb 2.086 0.000 0.000
Tb 2.086 0.000 5.378
Se 2.086 -4.944 4.657
Se 2.086 4.944 6.099
Se 2.086 -4.944 0.721
Se 2.086 1.091 8.067
Se 2.086 -1.091 2.689
Se 2.086 4.944 10.035
Sr 2.086 3.383 2.689
Sr 2.086 -3.383 8.067
Li 2.086 -6.492 2.689
Li 2.086 6.492 8.067

9
Lattice="5.806 0.000 0.000 -2.903 5.028 0.000 0.000 0.000 7.665" Properties=species:S:1:pos:R:3 comment="LiTa3Se5 | OQMD | PBE | relaxed" sg="P6/mmm (191)" total_energy_ev_per_atom=-6.59 pbc="T T T"
Se 0.000 3.352 5.876
Se 2.903 1.676 1.789
Se 0.000 3.352 1.789
Se 0.000 0.000 3.832
Se 2.903 1.676 5.876
Ta 1.451 2.514 3.832
Ta 2.903 0.000 3.832
Ta -1.451 2.514 3.832
Li 0.000 0.000 0.000

| no. | magnetization (Bohr magnetons per cell) | calculated volume (Å³/atom) |
| --- | --- | --- |
| 1 | 0.0 | 26.17 |
| 2 | 0.0 | 25.82 |
| 3 | 0.0 | 25.46 |
| 4 | 0.0 | 24.86 |